An optimized crystal structure of TbErIr. Source: Alexandria via LeMat-Bulk, functional PBE-GGA.

Lattice parameters (Å, degrees): 4.0957 4.0957 6.1144 90.00 90.00 120.00
Sites, in units of the cell vectors:
1 Tb 0.0000 0.0000 0.0000
2 Er 0.3333 0.6667 0.4608
3 Ir 0.6667 0.3333 0.2348

## Properties
ΔE to the lowest computed polymorph in eV per atom: 0.156
Symmetry: No. 156
DFT total energy in eV/atom: -6.577
Energy relative to the elements in meV/atom: -559.3